The following is a PBE calculation of crystalline YZrZn2 at its relaxed geometry, from Alexandria.

a = 5.864 Å, b = 5.864 Å, c = 5.864 Å
α = 145.90°, β = 132.29°, γ = 59.94°
Atoms (fractional coordinates):
Y  0.000  0.000  0.000
Zr  0.270  0.770  0.500
Zn  0.546  0.546  0.000
Zn  0.735  0.235  0.500

The value obtained for the formation enthalpy at 0 K is -18 kJ/mol of atoms.